The following is a DFT calculation (GGA-PBEsol) of a geometry-optimized Tl2MoOs structure.

**Crystal system**: monoclinic
**Formation energy from the elements**: 1.00 eV/atom
**Space-group type**: C2/m
**E_tot**: -50.5 eV for the cell shown

```
8
Lattice="5.8800 0.0000 0.0000 0.0000 9.3721 0.0000 -1.4102 0.0000 2.6541" Properties=species:S:1:pos:R:3 pbc="T T T"
Tl 1.4700 2.3430 0.0000
Tl 1.4700 7.0291 0.0000
Tl 4.4100 2.3430 0.0000
Tl 4.4100 7.0291 0.0000
Mo -0.7051 0.0000 1.3270
Mo 2.2349 4.6861 1.3270
Os -0.7051 4.6861 1.3270
Os 2.2349 0.0000 1.3270
```

=====

The following is a DFT calculation (GGA-PBEsol) of a geometry-optimized AsIrO2 structure.

**Crystal system**: trigonal
**Space-group type**: R-3m
**E_tot**: -80.4 eV for the cell shown

```
12
Lattice="3.1548 0.0000 0.0000 -1.5774 2.7321 0.0000 0.0000 0.0000 18.4142" Properties=species:S:1:pos:R:3 pbc="T T T"
As 0.0000 0.0000 0.0000
As 0.0000 1.8214 12.2761
As 1.5774 0.9107 6.1380
Ir 0.0000 0.0000 9.2071
Ir 0.0000 1.8214 3.0690
Ir 1.5774 0.9107 15.3451
O 0.0000 0.0000 2.1344
O 0.0000 0.0000 16.2798
O 0.0000 1.8214 10.1417
O 0.0000 1.8214 14.4105
O 1.5774 0.9107 4.0037
O 1.5774 0.9107 8.2725
```

=====

The following is a DFT calculation (GGA-PBEsol) of a geometry-optimized LiCuSN2 structure.

**Crystal system**: tetragonal
**Space-group type**: P4/mmm
**E_tot**: -19.2 eV for the cell shown

```
5
Lattice="3.4492 0.0000 0.0000 0.0000 3.4492 0.0000 0.0000 0.0000 4.7585" Properties=species:S:1:pos:R:3 pbc="T T T"
Li 0.0000 0.0000 0.0000
Cu 0.0000 0.0000 2.3793
S 1.7246 1.7246 2.3793
N 0.0000 1.7246 0.0000
N 1.7246 0.0000 0.0000
```

=====

The following is a DFT calculation (GGA-PBEsol) of a geometry-optimized RbNiOs3 structure.

**Crystal system**: cubic
**Formation energy from the elements**: 2.37 eV/atom
**Space-group type**: Pm-3m
**E_tot**: -32.0 eV for the cell shown

```
5
Lattice="4.5710 0.0000 0.0000 0.0000 4.5710 0.0000 0.0000 0.0000 4.5710" Properties=species:S:1:pos:R:3 pbc="T T T"
Rb 0.0000 0.0000 0.0000
Ni 2.2855 2.2855 2.2855
Os 0.0000 2.2855 2.2855
Os 2.2855 0.0000 2.2855
Os 2.2855 2.2855 0.0000
```

=====

The following is a DFT calculation (GGA-PBEsol) of a geometry-optimized YAs2RhPb structure.

**Crystal system**: tetragonal
**Formation energy from the elements**: -0.17 eV/atom
**Space-group type**: P4/mmm
**E_tot**: -30.0 eV for the cell shown

```
5
Lattice="4.7253 0.0000 0.0000 0.0000 4.7253 0.0000 0.0000 0.0000 5.2523" Properties=species:S:1:pos:R:3 pbc="T T T"
Y 0.0000 0.0000 0.0000
As 0.0000 2.3626 2.6262
As 2.3626 0.0000 2.6262
Rh 0.0000 0.0000 2.6262
Pb 2.3626 2.3626 0.0000
```

=====

The following is a DFT calculation (GGA-PBEsol) of a geometry-optimized SrIn2Se2 structure.

**Crystal system**: tetragonal
**Space-group type**: I4/mmm
**E_tot**: -38.4 eV for the cell shown

```
10
Lattice="4.1230 0.0000 0.0000 0.0000 4.1230 0.0000 0.0000 0.0000 16.0337" Properties=species:S:1:pos:R:3 pbc="T T T"
Sr 0.0000 0.0000 0.0000
Sr 2.0615 2.0615 8.0168
In 0.0000 2.0615 4.0084
In 0.0000 2.0615 12.0252
In 2.0615 0.0000 4.0084
In 2.0615 0.0000 12.0252
Se 0.0000 0.0000 6.5573
Se 0.0000 0.0000 9.4764
Se 2.0615 2.0615 1.4596
Se 2.0615 2.0615 14.5741
```

=====

The following is a DFT calculation (GGA-PBEsol) of a geometry-optimized BaTeI2Cl structure.

**Crystal system**: tetragonal
**Space-group type**: P4/mmm
**E_tot**: -12.2 eV for the cell shown

```
5
Lattice="6.5497 0.0000 0.0000 0.0000 6.5497 0.0000 0.0000 0.0000 7.0346" Properties=species:S:1:pos:R:3 pbc="T T T"
Ba 0.0000 0.0000 0.0000
Te 0.0000 0.0000 3.5173
I 0.0000 3.2749 0.0000
I 3.2749 0.0000 0.0000
Cl 3.2749 3.2749 3.5173
```

=====

The following is a DFT calculation (GGA-PBEsol) of a geometry-optimized Na2CuSi4O10 structure.

**Crystal system**: triclinic
**Space-group type**: P-1
**E_tot**: -246.1 eV for the cell shown

```
34
Lattice="6.9542 0.0000 0.0000 -3.1845 6.9355 0.0000 -1.5024 -3.5835 8.9434" Properties=species:S:1:pos:R:3 pbc="T T T"
Na 0.2104 -0.5307 3.7652
Na -1.2170 5.3018 0.2130
Na 3.4843 -1.9499 8.7304
Na 2.0569 3.8826 5.1782
Cu -1.4230 3.8806 5.1264
Cu 3.6903 -0.5287 3.8170
Si -1.8630 -0.1209 6.7101
Si 0.1869 -2.0501 7.6152
Si 0.1321 3.2507 2.3781
Si 2.1067 1.0402 1.7120
Si 0.1606 2.3118 7.2314
Si 2.1352 0.1013 6.5653
Si 2.0804 5.4021 1.3282
Si 4.1303 3.4729 2.2333
O -2.8556 3.8922 3.7683
O -1.3273 3.1762 1.6062
O -1.3158 -1.3494 7.6806
O -2.8887 3.8918 6.3794
O -1.0686 1.2454 7.1254
O 1.8735 0.7393 0.1011
O 0.7545 1.7286 2.3378
O 2.3664 -0.3903 2.3762
O 0.0662 3.8239 3.8654
O 0.9962 4.1718 1.3289
O 1.2711 -0.8199 7.6145
O 2.2011 -0.4720 5.0780
O -0.0991 3.7422 6.5671
O 1.5128 1.6234 6.6055
O 0.3938 2.6127 8.8423
O 3.3359 2.1066 1.8179
O 5.1560 -0.5399 2.5640
O 3.5831 4.7014 1.2628
O 3.5946 0.1757 7.3372
O 5.1229 -0.5403 5.1751
```

=====

The following is a DFT calculation (GGA-PBEsol) of a geometry-optimized Cd3Cu structure.

**Crystal system**: orthorhombic
**Formation energy from the elements**: 0.04 eV/atom
**Space-group type**: Pmmn
**E_tot**: -15.5 eV for the cell shown

```
8
Lattice="4.6201 0.0000 0.0000 0.0000 5.8715 0.0000 0.0000 0.0000 5.2602" Properties=species:S:1:pos:R:3 pbc="T T T"
Cd 1.1550 0.0002 0.8860
Cd 1.1550 1.4679 3.3720
Cd 1.1550 2.9355 0.8860
Cd 3.4651 5.8713 4.3741
Cd 3.4651 2.9360 4.3741
Cd 3.4651 4.4036 1.8882
Cu 1.1550 4.4036 3.5815
Cu 3.4651 1.4679 1.6787
```

=====

The following is a DFT calculation (GGA-PBEsol) of a geometry-optimized Ba3Nb16O23 structure.

**Crystal system**: orthorhombic
**Space-group type**: Cmmm
**E_tot**: -399.7 eV for the cell shown

```
42
Lattice="6.2411 -10.4814 0.0000 6.2411 10.4814 0.0000 0.0000 0.0000 4.1762" Properties=species:S:1:pos:R:3 pbc="T T T"
Ba 0.0000 0.0000 0.0000
Ba 6.2411 6.2706 0.0000
Ba 6.2411 -6.2706 0.0000
Nb 2.1048 2.1137 2.0881
Nb 4.1532 4.1140 2.0881
Nb 4.1066 2.1353 0.0000
Nb 2.1048 -2.1137 2.0881
Nb 4.0961 0.0000 2.0881
Nb 6.2411 2.1228 2.0881
Nb 4.1066 -2.1353 0.0000
Nb 8.3289 4.1140 2.0881
Nb 4.1532 -4.1140 2.0881
Nb 8.3755 2.1353 0.0000
Nb 6.2411 -2.1228 2.0881
Nb 8.3860 0.0000 2.0881
Nb 10.3773 2.1137 2.0881
Nb 8.3755 -2.1353 0.0000
Nb 8.3289 -4.1140 2.0881
Nb 10.3773 -2.1137 2.0881
O 4.1913 6.3005 2.0881
O 2.0093 2.0802 0.0000
O 6.2411 8.3391 2.0881
O 4.2363 4.1965 0.0000
O 1.9914 0.0000 2.0881
O 2.0093 -2.0802 0.0000
O 6.2411 4.2259 2.0881
O 4.1726 0.0000 0.0000
O 8.2908 6.3005 2.0881
O 6.2411 2.0364 0.0000
O 8.2458 4.1965 0.0000
O 6.2411 0.0000 2.0881
O 4.2363 -4.1965 0.0000
O 6.2411 -2.0364 0.0000
O 4.1913 -6.3005 2.0881
O 8.3095 0.0000 0.0000
O 6.2411 -4.2259 2.0881
O 10.4728 2.0802 0.0000
O 10.4907 0.0000 2.0881
O 8.2458 -4.1965 0.0000
O 6.2411 -8.3391 2.0881
O 10.4728 -2.0802 0.0000
O 8.2908 -6.3005 2.0881
```

=====

The following is a DFT calculation (GGA-PBEsol) of a geometry-optimized Y2OsPt structure.

**Crystal system**: tetragonal
**Formation energy from the elements**: -0.23 eV/atom
**Space-group type**: P4mm
**E_tot**: -33.8 eV for the cell shown

```
4
Lattice="3.8360 0.0000 0.0000 0.0000 3.8360 0.0000 0.0000 0.0000 5.7741" Properties=species:S:1:pos:R:3 pbc="T T T"
Y 0.0000 0.0000 0.0000
Y 1.9180 1.9180 2.1690
Os 0.0000 0.0000 2.9458
Pt 1.9180 1.9180 4.9816
```

=====

The following is a DFT calculation (GGA-PBEsol) of a geometry-optimized K6Hg7 structure.

**Crystal system**: trigonal
**Formation energy from the elements**: -0.17 eV/atom
**Space-group type**: R-3m
**E_tot**: -12.9 eV for the cell shown

```
13
Lattice="3.2346 1.8675 11.5152 -3.2346 1.8675 11.5152 0.0000 -3.7349 11.5152" Properties=species:S:1:pos:R:3 pbc="T T T"
K 0.0000 0.0000 1.9363
K 0.0000 0.0000 5.3636
K 0.0000 0.0000 11.4491
K 0.0000 0.0000 23.0964
K 0.0000 0.0000 29.1820
K 0.0000 0.0000 32.6093
Hg -1.6296 -0.9409 14.7048
Hg 0.0000 -1.8817 19.8408
Hg -1.6296 0.9409 19.8408
Hg 0.0000 0.0000 17.2728
Hg 1.6296 -0.9409 14.7048
Hg 0.0000 1.8817 14.7048
Hg 1.6296 0.9409 19.8408
```

=====

The following is a DFT calculation (GGA-PBEsol) of a geometry-optimized Sr2Mg structure.

**Crystal system**: orthorhombic
**Formation energy from the elements**: -0.01 eV/atom
**Space-group type**: Pnma
**E_tot**: -21.8 eV for the cell shown

```
12
Lattice="7.6161 0.0000 0.0000 0.0000 5.8619 0.0000 0.0000 0.0000 10.9574" Properties=species:S:1:pos:R:3 pbc="T T T"
Sr 0.3013 1.4655 2.3097
Sr 1.3297 1.4655 6.2246
Sr 2.4784 4.3964 0.7459
Sr 3.5067 4.3964 7.7884
Sr 4.1094 1.4655 3.1690
Sr 5.1377 1.4655 10.2115
Sr 6.2864 4.3964 4.7328
Sr 7.3148 4.3964 8.6477
Mg 1.5317 1.4655 9.8140
Mg 2.2763 4.3964 4.3353
Mg 5.3398 1.4655 6.6221
Mg 6.0844 4.3964 1.1434
```

=====

The following is a DFT calculation (GGA-PBEsol) of a geometry-optimized PtRh2Cl structure.

**Crystal system**: orthorhombic
**Energy relative to the lowest polymorph listed for this composition**: 0 kJ/mol of formula units
**Space-group type**: Cmmm
**E_tot**: -47.9 eV for the cell shown

```
8
Lattice="2.7268 0.0000 0.0000 0.0000 4.8848 0.0000 0.0000 0.0000 8.6840" Properties=species:S:1:pos:R:3 pbc="T T T"
Pt 0.0000 0.0000 0.0000
Pt 1.3634 2.4424 0.0000
Rh 0.0000 2.4424 2.2829
Rh 0.0000 2.4424 6.4011
Rh 1.3634 0.0000 2.2829
Rh 1.3634 0.0000 6.4011
Cl 0.0000 0.0000 4.3420
Cl 1.3634 2.4424 4.3420
```

=====

The following is a DFT calculation (GGA-PBEsol) of a geometry-optimized LiGa2Ni2 structure.

**Crystal system**: tetragonal
**Formation energy from the elements**: -0.42 eV/atom
**Space-group type**: P4/mbm
**E_tot**: -46.2 eV for the cell shown

```
10
Lattice="6.9478 0.0000 0.0000 0.0000 6.9478 0.0000 0.0000 0.0000 2.6400" Properties=species:S:1:pos:R:3 pbc="T T T"
Li 0.0000 0.0000 0.0000
Li 3.4739 3.4739 0.0000
Ga 1.0560 2.4179 0.0000
Ga 2.4179 5.8918 0.0000
Ga 4.5299 1.0560 0.0000
Ga 5.8918 4.5299 0.0000
Ni 1.0069 4.4808 1.3200
Ni 2.4670 1.0069 1.3200
Ni 4.4808 5.9409 1.3200
Ni 5.9409 2.4670 1.3200
```

=====

The following is a DFT calculation (GGA-PBEsol) of a geometry-optimized NaLiICl structure.

**Crystal system**: tetragonal
**Space-group type**: P4/mmm
**E_tot**: -13.0 eV for the cell shown

```
4
Lattice="4.0310 0.0000 0.0000 0.0000 4.0310 0.0000 0.0000 0.0000 6.0719" Properties=species:S:1:pos:R:3 pbc="T T T"
Na 0.0000 0.0000 0.0000
Li 2.0155 2.0155 3.0360
I 0.0000 0.0000 3.0360
Cl 2.0155 2.0155 0.0000
```

=====

The following is a DFT calculation (GGA-PBEsol) of a geometry-optimized PbAu3 structure.

**Crystal system**: orthorhombic
**Formation energy from the elements**: 0.07 eV/atom
**Space-group type**: Pmm2
**E_tot**: -15.5 eV for the cell shown

```
4
Lattice="3.2995 0.0000 0.0000 0.0000 4.2939 0.0000 0.0000 0.0000 5.7491" Properties=species:S:1:pos:R:3 pbc="T T T"
Pb 0.0000 0.0000 0.0000
Au 0.0000 2.1470 3.6087
Au 1.6498 0.0000 3.0562
Au 1.6498 2.1470 1.2151
```

=====

The following is a DFT calculation (GGA-PBEsol) of a geometry-optimized NaSO3 structure.

**Crystal system**: cubic
**Space-group type**: Pm-3m
**E_tot**: -15.0 eV for the cell shown

```
5
Lattice="4.0273 0.0000 0.0000 0.0000 4.0273 0.0000 0.0000 0.0000 4.0273" Properties=species:S:1:pos:R:3 pbc="T T T"
Na 0.0000 0.0000 0.0000
S 2.0136 2.0136 2.0136
O 0.0000 0.0000 2.0136
O 0.0000 2.0136 0.0000
O 2.0136 0.0000 0.0000
```

=====

The following is a DFT calculation (GGA-PBEsol) of a geometry-optimized BeCu2 structure.

**Crystal system**: tetragonal
**Formation energy from the elements**: -0.02 eV/atom
**Space-group type**: I4_1/amd
**E_tot**: -50.9 eV for the cell shown

```
12
Lattice="-1.7074 1.7074 10.4910 1.7074 -1.7074 10.4910 1.7074 1.7074 -10.4910" Properties=species:S:1:pos:R:3 pbc="T T T"
Be 1.7074 0.8537 0.8771
Be 1.7074 0.8537 4.3684
Be 0.0000 0.8537 6.1226
Be 0.0000 0.8537 9.6138
Cu 1.7074 -0.8537 6.0786
Cu 1.7074 0.8537 -2.6343
Cu 1.7074 -0.8537 9.6578
Cu 0.0000 0.8537 2.6112
Cu 1.7074 0.8537 7.8798
Cu 0.0000 2.5611 0.8331
Cu 0.0000 0.8537 13.1252
Cu 0.0000 2.5611 4.4123
```

=====

The following is a DFT calculation (GGA-PBEsol) of a geometry-optimized ReNiHg2 structure.

**Crystal system**: trigonal
**Energy relative to the lowest polymorph listed for this composition**: 91 kJ/mol of formula units
**Formation energy from the elements**: 0.57 eV/atom
**Space-group type**: R-3m
**E_tot**: -55.0 eV for the cell shown

```
12
Lattice="2.8891 0.0000 0.0000 -1.4445 2.5020 0.0000 0.0000 0.0000 26.6449" Properties=species:S:1:pos:R:3 pbc="T T T"
Re 0.0000 0.0000 0.0000
Re 0.0000 1.6680 17.7633
Re 1.4445 0.8340 8.8816
Ni 0.0000 0.0000 13.3224
Ni 0.0000 1.6680 4.4408
Ni 1.4445 0.8340 22.2041
Hg 0.0000 0.0000 6.5153
Hg 0.0000 0.0000 20.1295
Hg 0.0000 1.6680 11.2479
Hg 0.0000 1.6680 24.2786
Hg 1.4445 0.8340 2.3663
Hg 1.4445 0.8340 15.3970
```

=====

The following is a DFT calculation (GGA-PBEsol) of a geometry-optimized PrBi2Au structure.

**Crystal system**: tetragonal
**Formation energy from the elements**: -0.63 eV/atom
**Space-group type**: P4/nmm
**E_tot**: -40.4 eV for the cell shown

```
8
Lattice="4.6602 0.0000 0.0000 0.0000 4.6602 0.0000 0.0000 0.0000 9.7526" Properties=species:S:1:pos:R:3 pbc="T T T"
Pr 1.1650 1.1650 2.2720
Pr 3.4951 3.4951 7.4806
Bi 1.1650 1.1650 7.9036
Bi 1.1650 3.4951 4.8763
Bi 3.4951 1.1650 4.8763
Bi 3.4951 3.4951 1.8490
Au 1.1650 3.4951 0.0000
Au 3.4951 1.1650 0.0000
```

=====

The following is a DFT calculation (GGA-PBEsol) of a geometry-optimized CsK3Tl structure.

**Crystal system**: cubic
**Formation energy from the elements**: 0.03 eV/atom
**Space-group type**: Pm-3m
**E_tot**: -6.8 eV for the cell shown

```
5
Lattice="6.9050 0.0000 0.0000 0.0000 6.9050 0.0000 0.0000 0.0000 6.9050" Properties=species:S:1:pos:R:3 pbc="T T T"
Cs 0.0000 0.0000 0.0000
K 0.0000 3.4525 3.4525
K 3.4525 0.0000 3.4525
K 3.4525 3.4525 0.0000
Tl 3.4525 3.4525 3.4525
```

=====

The following is a DFT calculation (GGA-PBEsol) of a geometry-optimized Tl2SeCl structure.

**Crystal system**: cubic
**Energy relative to the lowest polymorph listed for this composition**: 22 kJ/mol of formula units
**Space-group type**: Fm-3m
**E_tot**: -52.0 eV for the cell shown

```
16
Lattice="7.3530 0.0000 0.0000 0.0000 7.3530 0.0000 0.0000 0.0000 7.3530" Properties=species:S:1:pos:R:3 pbc="T T T"
Tl 1.8383 1.8383 1.8383
Tl 1.8383 1.8383 5.5148
Tl 1.8383 5.5148 1.8383
Tl 1.8383 5.5148 5.5148
Tl 5.5148 1.8383 1.8383
Tl 5.5148 1.8383 5.5148
Tl 5.5148 5.5148 1.8383
Tl 5.5148 5.5148 5.5148
Se 0.0000 0.0000 0.0000
Se 0.0000 3.6765 3.6765
Se 3.6765 0.0000 3.6765
Se 3.6765 3.6765 0.0000
Cl 0.0000 0.0000 3.6765
Cl 0.0000 3.6765 0.0000
Cl 3.6765 0.0000 0.0000
Cl 3.6765 3.6765 3.6765
```

=====

The following is a DFT calculation (GGA-PBEsol) of a geometry-optimized TaCo4Ru structure.

**Crystal system**: cubic
**Formation energy from the elements**: -0.12 eV/atom
**Space-group type**: F-43m
**E_tot**: -54.4 eV for the cell shown

```
6
Lattice="0.0000 3.2859 3.2859 3.2859 0.0000 3.2859 3.2859 3.2859 0.0000" Properties=species:S:1:pos:R:3 pbc="T T T"
Ta 0.0000 0.0000 0.0000
Co 2.4681 2.4681 2.4681
Co 4.1037 4.1037 2.4681
Co 4.1037 2.4681 4.1037
Co 2.4681 4.1037 4.1037
Ru 4.9288 4.9288 4.9288
```